No. 1
Here is a relaxed CsCo2Br crystal from Alexandria. Energies are from GGA-PBE.

Computed properties:
Total magnetic moment: 0.6802 μB per atom
E: -11.29 eV per formula unit
Space group: Fm-3m
Energy relative to the elements, uncorrected: 131 kJ/mol of atoms
Density of states at the Fermi level: 4.82 states/eV per cell

Cell: 4.892 4.892 4.892 Å, 60.00 60.00 60.00°
Positions (direct):
1 Co 0.250 0.250 0.250
2 Co 0.750 0.750 0.750
3 Cs 0.500 0.500 0.500
4 Br 0.000 0.000 0.000

---

No. 2
Here is a relaxed Zr2TaTl crystal from Alexandria. Energies are from GGA-PBE.

Computed properties:
Total magnetic moment: 0.0000 μB per atom
E: -30.72 eV per formula unit
Space group: Pmm2
ΔE to the lowest computed polymorph: 153 meV per atom
Density of states at the Fermi level: 4.52 states/eV per cell
Energy of formation from the pure elements: 0.15 eV/atom

Cell: 3.329 3.894 6.668 Å, 90.00 90.00 90.00°
Positions (direct):
1 Ta 0.000 0.000 0.496
2 Tl 0.500 0.500 0.742
3 Zr 0.500 0.500 0.262
4 Zr 0.000 0.000 0.999

---

No. 3
Here is a relaxed SrCu2Ir crystal from Alexandria. Energies are from GGA-PBE.

Computed properties:
Total magnetic moment: 0.1522 μB per atom
E: -15.77 eV per formula unit
Space group: R-3m
ΔE to the lowest computed polymorph: 828 meV per atom
Density of states at the Fermi level: 3.93 states/eV per cell
Energy of formation from the pure elements: 0.74 eV/atom

Cell: 9.550 9.550 9.550 Å, 17.51 17.51 17.51°
Positions (direct):
1 Cu 0.989 0.989 0.989
2 Cu 0.511 0.511 0.511
3 Ir 0.250 0.250 0.250
4 Sr 0.750 0.750 0.750

---

No. 4
Here is a relaxed NiAu2 crystal from Alexandria. Energies are from GGA-PBE.

Computed properties:
Total magnetic moment: 0.0012 μB per atom
E: -11.83 eV per formula unit
Space group: P4/mmm
Density of states at the Fermi level: 3.20 states/eV per cell
Energy of formation from the pure elements: 0.17 eV/atom

Cell: 4.447 4.447 2.738 Å, 90.00 90.00 90.00°
Positions (direct):
1 Au 0.500 0.000 0.500
2 Au 0.000 0.500 0.500
3 Ni 0.000 0.000 0.000

---

No. 5
Here is a relaxed SbPBr2 crystal from Alexandria. Energies are from GGA-PBE.

Computed properties:
Total magnetic moment: 0.0000 μB per atom
E: -11.45 eV per formula unit
Space group: C2/m
Energy relative to the elements, uncorrected: 34 kJ/mol of atoms
ΔE to the lowest computed polymorph: 556 meV per atom
Density of states at the Fermi level: 2.40 states/eV per cell

Cell: 4.771 5.666 4.718 Å, 66.99 86.54 113.32°
Positions (direct):
1 Sb 0.500 0.500 0.000
2 Br 0.000 0.000 0.000
3 Br 0.500 0.000 0.500
4 P 0.000 0.500 0.500

---

No. 6
Here is a relaxed AsRuO2F crystal from Alexandria. Energies are from GGA-PBE.

Computed properties:
Total magnetic moment: 0.1502 μB per atom
E: -27.15 eV per formula unit
Space group: P4/mmm
Energy relative to the elements, uncorrected: -28 kJ/mol of atoms
Density of states at the Fermi level: 5.45 states/eV per cell

Cell: 3.914 3.914 4.149 Å, 90.00 90.00 90.00°
Positions (direct):
1 As 0.500 0.500 0.500
2 O 0.500 0.000 0.000
3 O 0.000 0.500 0.000
4 F 0.000 0.000 0.500
5 Ru 0.000 0.000 0.000